(1)
The following is a DFT calculation (PBE) of a relaxed structure of La3Tb2Pm6Y.

The space group is C2/m (12). The calculation puts the formation energy at 0.227 eV per formula unit.

Unit cell a=6.335 b=6.335 c=12.119 alpha=95.02 beta=95.02 gamma=120.04
Atoms (fractional coordinates):
La  0.000  0.000  0.000
La  0.333  0.667  0.000
La  0.667  0.333  0.000
Tb  0.167  0.833  0.500
Tb  0.833  0.167  0.500
Pm  0.085  0.418  0.255
Pm  0.248  0.248  0.745
Pm  0.418  0.085  0.255
Pm  0.582  0.915  0.745
Pm  0.752  0.752  0.255
Pm  0.915  0.582  0.745
Y  0.500  0.500  0.500

(2)
The following is a DFT calculation (PBE) of a relaxed structure of Cs2MnCBr6.

The space group is I4/mmm (139). The value obtained for the uncorrected formation energy is -4.73 eV per formula unit.

Unit cell a=7.655 b=7.655 c=7.655 alpha=122.38 beta=122.38 gamma=85.93
Atoms (fractional coordinates):
Cs  0.250  0.750  0.500
Cs  0.750  0.250  0.500
Mn  0.000  0.000  0.000
C  0.500  0.500  0.000
Br  0.223  0.223  0.000
Br  0.263  0.263  0.525
Br  0.263  0.737  0.000
Br  0.737  0.263  0.000
Br  0.737  0.737  0.475
Br  0.777  0.777  0.000

(3)
The following is a DFT calculation (PBE) of a relaxed structure of MgTe2Pt.

The space group is P4mm (99). The value obtained for the uncorrected formation energy is -0.93 eV per formula unit.

Unit cell a=3.133 b=3.133 c=10.162 alpha=90.00 beta=90.00 gamma=90.00
Atoms (fractional coordinates):
Mg  0.000  0.000  0.000
Te  0.000  0.000  0.364
Te  0.500  0.500  0.756
Pt  0.500  0.500  0.157